This record from Alexandria via LeMat-Bulk describes an optimized crystal structure of TbSmAg. The functional is PBE.

```
3
Lattice="0.000 3.597 3.597 3.597 0.000 3.597 3.597 3.597 0.000" Properties=species:S:1:pos:R:3 pbc="T T T"
Tb 0.000 0.000 0.000
Sm 3.597 3.597 3.597
Ag 1.798 1.798 1.798
```

Summary:
Total energy = -4.00 eV per atom
Energy above the most stable polymorph in this dataset = 231 meV per atom
M_tot = 0.1 μB per formula unit

***

This record from Alexandria via LeMat-Bulk describes an optimized crystal structure of Tb4SmAg. The functional is PBE.

```
6
Lattice="3.583 0.000 0.000 0.000 3.583 0.000 0.000 0.000 13.966" Properties=species:S:1:pos:R:3 pbc="T T T"
Tb 0.000 0.000 1.909
Tb 0.000 0.000 12.057
Tb 1.791 1.791 4.451
Tb 1.791 1.791 9.515
Sm 0.000 0.000 6.983
Ag 1.791 1.791 0.000
```

Summary:
Total energy = -4.43 eV per atom
Energy above the most stable polymorph in this dataset = 0 meV per atom
M_tot = 0.0 μB per formula unit

***

Among the records above, which one has the lowest total energy? Tb4SmAg

***

Among the records above, which one has the lowest M_tot? Tb4SmAg